# 1
Below is crystalline K2HoCdF6 at its relaxed geometry, with properties calculated at the PBE-GGA level.

Values from the calculation:
Raw formation energy (eV per atom): -2.950

Cell lengths 6.4320, 9.1768, 6.8671 Å; angles 90.00, 90.00, 90.00 degrees
Fractional positions:
K 0.2500 0.0316 0.2020
K 0.2500 0.4684 0.2020
K 0.7500 0.5316 0.7980
K 0.7500 0.9684 0.7980
Ho 0.2500 0.7500 0.7885
Ho 0.7500 0.2500 0.2115
Cd 0.2500 0.2500 0.7133
Cd 0.7500 0.7500 0.2867
F 0.0099 0.2500 0.4096
F 0.0146 0.7500 0.0189
F 0.2500 0.5141 0.8115
F 0.2500 0.9859 0.8115
F 0.4854 0.7500 0.0189
F 0.4901 0.2500 0.4096
F 0.5099 0.7500 0.5904
F 0.5146 0.2500 0.9811
F 0.7500 0.0141 0.1885
F 0.7500 0.4859 0.1885
F 0.9854 0.2500 0.9811
F 0.9901 0.7500 0.5904


# 2
Below is crystalline Ag3HgCl4 at its relaxed geometry, with properties calculated at the PBE-GGA level.

Values from the calculation:
Raw formation energy (eV per atom): -0.355

Cell lengths 6.2643, 6.2643, 12.0437 Å; angles 90.00, 90.00, 90.00 degrees
Fractional positions:
Ag 0.0000 0.0000 0.0000
Ag 0.0000 0.5000 0.2500
Ag 0.0000 0.5000 0.7500
Ag 0.5000 0.0000 0.2500
Ag 0.5000 0.0000 0.7500
Ag 0.5000 0.5000 0.5000
Hg 0.0000 0.0000 0.5000
Hg 0.5000 0.5000 0.0000
Cl 0.2317 0.2317 0.8657
Cl 0.2317 0.7683 0.1343
Cl 0.2683 0.2683 0.3657
Cl 0.2683 0.7317 0.6343
Cl 0.7317 0.2683 0.6343
Cl 0.7317 0.7317 0.3657
Cl 0.7683 0.2317 0.1343
Cl 0.7683 0.7683 0.8657


# 3
Below is crystalline NaHIO2 at its relaxed geometry, with properties calculated at the PBE-GGA level.

Values from the calculation:
Energy relative to the lowest polymorph listed for this composition (meV per atom): 0

Cell lengths 4.3871, 4.3871, 3.4644 Å; angles 90.00, 90.00, 90.00 degrees
Fractional positions:
Na 0.0000 0.0000 0.0000
H 0.5000 0.5000 0.5000
I 0.5000 0.5000 0.0000
O 0.0000 0.5000 0.5000
O 0.5000 0.0000 0.5000


# 4
Below is crystalline LiTe2RhO8 at its relaxed geometry, with properties calculated at the PBE-GGA level.

Values from the calculation:
Raw formation energy (eV per atom): -0.592

Cell lengths 5.9339, 5.9339, 5.9339 Å; angles 108.72, 108.72, 110.99 degrees
Fractional positions:
Li 0.0000 0.0000 0.0000
Te 0.2500 0.7500 0.5000
Te 0.5000 0.5000 0.0000
Rh 0.7500 0.2500 0.5000
O 0.0665 0.3671 0.3005
O 0.0665 0.7660 0.6995
O 0.1057 0.3137 0.7920
O 0.2340 0.9335 0.3005
O 0.5217 0.3137 0.2080
O 0.6329 0.9335 0.6995
O 0.6863 0.4783 0.7920
O 0.6863 0.8943 0.2080


# 5
Below is crystalline CeZrMoRh at its relaxed geometry, with properties calculated at the PBE-GGA level.

Values from the calculation:
ΔE_f (eV per formula unit): -1.01

Cell lengths 6.7839, 6.7839, 6.7839 Å; angles 90.00, 90.00, 90.00 degrees
Fractional positions:
Ce 0.0000 0.0000 0.0000
Ce 0.0000 0.5000 0.5000
Ce 0.5000 0.0000 0.5000
Ce 0.5000 0.5000 0.0000
Zr 0.0000 0.0000 0.5000
Zr 0.0000 0.5000 0.0000
Zr 0.5000 0.0000 0.0000
Zr 0.5000 0.5000 0.5000
Mo 0.2500 0.2500 0.7500
Mo 0.2500 0.7500 0.2500
Mo 0.7500 0.2500 0.2500
Mo 0.7500 0.7500 0.7500
Rh 0.2500 0.2500 0.2500
Rh 0.2500 0.7500 0.7500
Rh 0.7500 0.2500 0.7500
Rh 0.7500 0.7500 0.2500


# 6
Below is crystalline DyLuSb2 at its relaxed geometry, with properties calculated at the PBE-GGA level.

Values from the calculation:
Raw formation energy (eV per atom): -1.075

Cell lengths 4.3494, 4.3494, 21.2792 Å; angles 90.00, 90.00, 120.00 degrees
Fractional positions:
Dy 0.0000 0.0000 0.0000
Dy 0.3333 0.6667 0.6667
Dy 0.6667 0.3333 0.3333
Lu 0.0000 0.0000 0.5000
Lu 0.3333 0.6667 0.1667
Lu 0.6667 0.3333 0.8333
Sb 0.0000 0.0000 0.2482
Sb 0.0000 0.0000 0.7518
Sb 0.3333 0.6667 0.4184
Sb 0.3333 0.6667 0.9149
Sb 0.6667 0.3333 0.0851
Sb 0.6667 0.3333 0.5816


# 7
Below is crystalline Ac16Ni3Os5 at its relaxed geometry, with properties calculated at the PBE-GGA level.

Values from the calculation:
ΔE_f (eV per formula unit): -2.23

Cell lengths 8.5923, 8.5923, 13.9508 Å; angles 90.09, 90.09, 60.46 degrees
Fractional positions:
Ac 0.0000 0.0000 0.0000
Ac 0.0030 0.0030 0.5010
Ac 0.0256 0.4893 0.9846
Ac 0.1659 0.1659 0.7320
Ac 0.1663 0.6672 0.7313
Ac 0.3312 0.8331 0.2310
Ac 0.3380 0.3380 0.2239
Ac 0.4879 0.4879 0.9855
Ac 0.4893 0.0256 0.9846
Ac 0.5138 0.5138 0.4856
Ac 0.5187 0.9748 0.4836
Ac 0.6672 0.1663 0.7313
Ac 0.6715 0.6715 0.7235
Ac 0.8331 0.3312 0.2310
Ac 0.8339 0.8339 0.2280
Ac 0.9748 0.5187 0.4836
Ni 0.1684 0.1684 0.1122
Ni 0.3362 0.8355 0.6126
Ni 0.8355 0.3362 0.6126
Os 0.1673 0.6689 0.1110
Os 0.3288 0.3288 0.8415
Os 0.6617 0.6617 0.3486
Os 0.6689 0.1673 0.1110
Os 0.8379 0.8379 0.6121


# 8
Below is crystalline SbSeBr2O at its relaxed geometry, with properties calculated at the PBE-GGA level.

Values from the calculation:
Raw formation energy (eV per atom): 0.646
Energy relative to the lowest polymorph listed for this composition (meV per atom): 204

Cell lengths 5.4896, 5.4896, 5.5230 Å; angles 90.00, 90.00, 90.00 degrees
Fractional positions:
Sb 0.0000 0.0000 0.0000
Se 0.0000 0.0000 0.5000
Br 0.0000 0.5000 0.0000
Br 0.5000 0.0000 0.0000
O 0.5000 0.5000 0.5000


# 9
Below is crystalline BiRh2S2 at its relaxed geometry, with properties calculated at the PBE-GGA level.

Values from the calculation:
Raw formation energy (eV per atom): 0.024

Cell lengths 4.0951, 4.0951, 10.7638 Å; angles 90.00, 90.00, 90.00 degrees
Fractional positions:
Bi 0.0000 0.0000 0.0000
Bi 0.5000 0.5000 0.5000
Rh 0.0000 0.0000 0.3730
Rh 0.0000 0.0000 0.6270
Rh 0.5000 0.5000 0.1270
Rh 0.5000 0.5000 0.8730
S 0.0000 0.5000 0.2500
S 0.0000 0.5000 0.7500
S 0.5000 0.0000 0.2500
S 0.5000 0.0000 0.7500


# 10
Below is crystalline AlCu2P at its relaxed geometry, with properties calculated at the PBE-GGA level.

Values from the calculation:
Energy relative to the lowest polymorph listed for this composition (meV per atom): 195
ΔE_f (eV per formula unit): 0.66

Cell lengths 6.0555, 6.0555, 6.0555 Å; angles 90.00, 90.00, 90.00 degrees
Fractional positions:
Al 0.0000 0.0000 0.0000
Al 0.0000 0.5000 0.5000
Al 0.5000 0.0000 0.5000
Al 0.5000 0.5000 0.0000
Cu 0.0000 0.0000 0.5000
Cu 0.0000 0.5000 0.0000
Cu 0.2500 0.2500 0.2500
Cu 0.2500 0.7500 0.7500
Cu 0.5000 0.0000 0.0000
Cu 0.5000 0.5000 0.5000
Cu 0.7500 0.2500 0.7500
Cu 0.7500 0.7500 0.2500
P 0.2500 0.2500 0.7500
P 0.2500 0.7500 0.2500
P 0.7500 0.2500 0.2500
P 0.7500 0.7500 0.7500


# 11
Below is crystalline Pm3VN5 at its relaxed geometry, with properties calculated at the PBE-GGA level.

Values from the calculation:
Raw formation energy (eV per atom): -1.173

Cell lengths 7.3513, 7.3513, 7.3513 Å; angles 125.52, 125.52, 80.69 degrees
Fractional positions:
Pm 0.1738 0.6738 0.8476
Pm 0.2500 0.2500 0.0000
Pm 0.3262 0.1738 0.5000
Pm 0.6738 0.8262 0.5000
Pm 0.7500 0.7500 0.0000
Pm 0.8262 0.3262 0.1524
V 0.2500 0.7500 0.5000
V 0.7500 0.2500 0.5000
N 0.0000 0.0000 0.0000
N 0.0016 0.7988 0.5000
N 0.2012 0.7012 0.2028
N 0.2988 0.5016 0.5000
N 0.4984 0.9984 0.7972
N 0.5000 0.5000 0.0000
N 0.5016 0.0016 0.2028
N 0.7012 0.4984 0.5000
N 0.7988 0.2988 0.7972
N 0.9984 0.2012 0.5000


# 12
Below is crystalline MgTiRh2 at its relaxed geometry, with properties calculated at the PBE-GGA level.

Values from the calculation:
ΔE_f (eV per formula unit): -1.17

Cell lengths 6.8091, 6.8091, 5.7734 Å; angles 90.00, 90.00, 90.00 degrees
Fractional positions:
Mg 0.0000 0.0000 0.0000
Mg 0.0000 0.5000 0.2500
Mg 0.5000 0.0000 0.7500
Mg 0.5000 0.5000 0.5000
Ti 0.0000 0.0000 0.5000
Ti 0.0000 0.5000 0.7500
Ti 0.5000 0.0000 0.2500
Ti 0.5000 0.5000 0.0000
Rh 0.2215 0.2500 0.6250
Rh 0.2500 0.7215 0.8750
Rh 0.2500 0.7785 0.3750
Rh 0.2785 0.2500 0.1250
Rh 0.7215 0.7500 0.1250
Rh 0.7500 0.2215 0.3750
Rh 0.7500 0.2785 0.8750
Rh 0.7785 0.7500 0.6250


# 13
Below is crystalline Ti2VAu at its relaxed geometry, with properties calculated at the PBE-GGA level.

Values from the calculation:
Energy relative to the lowest polymorph listed for this composition (meV per atom): 578
ΔE_f (eV per formula unit): 1.36

Cell lengths 3.8495, 3.8495, 18.9423 Å; angles 90.00, 90.00, 90.00 degrees
Fractional positions:
Ti 0.2448 0.2500 0.1250
Ti 0.2500 0.7448 0.3750
Ti 0.2500 0.7552 0.8750
Ti 0.2552 0.2500 0.6250
Ti 0.7448 0.7500 0.6250
Ti 0.7500 0.2448 0.8750
Ti 0.7500 0.2552 0.3750
Ti 0.7552 0.7500 0.1250
V 0.0000 0.0000 0.0000
V 0.0000 0.5000 0.2500
V 0.5000 0.0000 0.7500
V 0.5000 0.5000 0.5000
Au 0.0000 0.0000 0.5000
Au 0.0000 0.5000 0.7500
Au 0.5000 0.0000 0.2500
Au 0.5000 0.5000 0.0000


# 14
Below is crystalline CaCd2SCl at its relaxed geometry, with properties calculated at the PBE-GGA level.

Values from the calculation:
Raw formation energy (eV per atom): -0.520

Cell lengths 5.5096, 5.5096, 5.2568 Å; angles 90.00, 90.00, 90.00 degrees
Fractional positions:
Ca 0.0000 0.0000 0.0000
Cd 0.0000 0.5000 0.5000
Cd 0.5000 0.0000 0.5000
S 0.0000 0.0000 0.5000
Cl 0.5000 0.5000 0.0000


# 15
Below is crystalline Ag3BS at its relaxed geometry, with properties calculated at the PBE-GGA level.

Values from the calculation:
Raw formation energy (eV per atom): 0.702
Energy relative to the lowest polymorph listed for this composition (meV per atom): 0

Cell lengths 4.4129, 4.4129, 4.4129 Å; angles 90.00, 90.00, 90.00 degrees
Fractional positions:
Ag 0.0000 0.0000 0.5000
Ag 0.0000 0.5000 0.0000
Ag 0.5000 0.0000 0.0000
B 0.0000 0.0000 0.0000
S 0.5000 0.5000 0.5000


# 16
Below is crystalline SrTeSe2 at its relaxed geometry, with properties calculated at the PBE-GGA level.

Values from the calculation:
Raw formation energy (eV per atom): -0.947

Cell lengths 4.2053, 4.2396, 13.7495 Å; angles 82.04, 86.09, 89.99 degrees
Fractional positions:
Sr 0.1754 0.2295 0.3084
Sr 0.8246 0.7705 0.6916
Te 0.2423 0.2681 0.0309
Te 0.7577 0.7319 0.9691
Se 0.3029 0.2255 0.7809
Se 0.3511 0.3170 0.5980
Se 0.6489 0.6830 0.4020
Se 0.6971 0.7745 0.2191


# 17
Below is crystalline TcSnAsSe2 at its relaxed geometry, with properties calculated at the PBE-GGA level.

Values from the calculation:
Raw formation energy (eV per atom): 0.278
Energy relative to the lowest polymorph listed for this composition (meV per atom): 0

Cell lengths 5.0686, 5.0686, 4.6767 Å; angles 90.00, 90.00, 90.00 degrees
Fractional positions:
Tc 0.0000 0.0000 0.0000
Sn 0.5000 0.5000 0.5000
As 0.0000 0.0000 0.5000
Se 0.0000 0.5000 0.0000
Se 0.5000 0.0000 0.0000


# 18
Below is crystalline Sr2Sb2Au at its relaxed geometry, with properties calculated at the PBE-GGA level.

Values from the calculation:
Raw formation energy (eV per atom): -0.545
Energy relative to the lowest polymorph listed for this composition (meV per atom): 303

Cell lengths 4.3102, 4.3102, 18.0972 Å; angles 90.00, 90.00, 90.00 degrees
Fractional positions:
Sr 0.0000 0.0000 0.1023
Sr 0.0000 0.0000 0.8977
Sr 0.5000 0.5000 0.3977
Sr 0.5000 0.5000 0.6023
Sb 0.0000 0.5000 0.2500
Sb 0.0000 0.5000 0.7500
Sb 0.5000 0.0000 0.2500
Sb 0.5000 0.0000 0.7500
Au 0.0000 0.0000 0.5000
Au 0.5000 0.5000 0.0000


# 19
Below is crystalline V2WAu at its relaxed geometry, with properties calculated at the PBE-GGA level.

Values from the calculation:
Energy relative to the lowest polymorph listed for this composition (meV per atom): 143
ΔE_f (eV per formula unit): 0.60

Cell lengths 6.2361, 6.2361, 6.2361 Å; angles 90.00, 90.00, 90.00 degrees
Fractional positions:
V 0.2500 0.2500 0.2500
V 0.2500 0.2500 0.7500
V 0.2500 0.7500 0.2500
V 0.2500 0.7500 0.7500
V 0.7500 0.2500 0.2500
V 0.7500 0.2500 0.7500
V 0.7500 0.7500 0.2500
V 0.7500 0.7500 0.7500
W 0.0000 0.0000 0.0000
W 0.0000 0.5000 0.5000
W 0.5000 0.0000 0.5000
W 0.5000 0.5000 0.0000
Au 0.0000 0.0000 0.5000
Au 0.0000 0.5000 0.0000
Au 0.5000 0.0000 0.0000
Au 0.5000 0.5000 0.5000


# 20
Below is crystalline LiTcRu2 at its relaxed geometry, with properties calculated at the PBE-GGA level.

Values from the calculation:
Energy relative to the lowest polymorph listed for this composition (meV per atom): 11
ΔE_f (eV per formula unit): 0.44

Cell lengths 5.9938, 5.9938, 5.9938 Å; angles 90.00, 90.00, 90.00 degrees
Fractional positions:
Li 0.0000 0.0000 0.0000
Li 0.0000 0.5000 0.5000
Li 0.5000 0.0000 0.5000
Li 0.5000 0.5000 0.0000
Tc 0.0000 0.0000 0.5000
Tc 0.0000 0.5000 0.0000
Tc 0.5000 0.0000 0.0000
Tc 0.5000 0.5000 0.5000
Ru 0.2500 0.2500 0.2500
Ru 0.2500 0.2500 0.7500
Ru 0.2500 0.7500 0.2500
Ru 0.2500 0.7500 0.7500
Ru 0.7500 0.2500 0.2500
Ru 0.7500 0.2500 0.7500
Ru 0.7500 0.7500 0.2500
Ru 0.7500 0.7500 0.7500


The records above yield Fermi-level density of states values of 2.825, 4.834, 3.574, 4.096, 3.260, 0.700, 13.800, 10.503, 3.467, 1.016, 5.381, 1.186, 4.793, 2.265, 6.532, 0.340, 4.906, 3.992, 4.752, 1.552 states/eV/f.u., respectively.
The records above yield magnetization values of 0.78, 0.14, 0.00, 2.53, 0.00, 0.00, 0.00, 0.44, 0.00, 0.00, 0.64, 0.00, 1.98, 0.00, 0.00, 0.00, 0.51, 0.00, 0.00, 0.00 μB/f.u., respectively.